Entry a
Entry from Alexandria via LeMat-Bulk: crystalline Tc2HgTe at its relaxed geometry (PBEsol).

Values from the calculation:
Mass density, Mg/m³: 12.5

a b c (Å): 3.0880 3.0880 25.2285
angles (deg): 90.00 90.00 120.00
Space group R-3m (No. 166, hexagonal axes)
Symmetry-distinct sites (fractional):
Tc (0.0000, 0.0000, 0.2444) [6 per cell]
Hg (0.0000, 0.0000, 0.0000) [3 per cell]
Te (0.0000, 0.0000, 0.5000) [3 per cell]

Entry b
Entry from Alexandria via LeMat-Bulk: crystalline Tc2HgTe at its relaxed geometry (PBEsol).

Values from the calculation:
Mass density, Mg/m³: 12.4

a b c (Å): 6.556 6.556 6.556
angles (deg): 90.00 90.00 90.00
Space group F-43m (No. 216)
Symmetry-distinct sites (fractional):
Tc (0.000, 0.000, 0.000) [4 per cell]
Tc (0.250, 0.250, 0.250) [4 per cell]
Hg (0.250, 0.250, 0.750) [4 per cell]
Te (0.000, 0.000, 0.500) [4 per cell]

The data favor entry a; the next most stable structure lies 0.268 eV/atom above it.

Entry a
Entry from Alexandria via LeMat-Bulk: crystalline TlTcHg2 at its relaxed geometry (PBEsol).

Values from the calculation:
Mass density, Mg/m³: 14.7

a b c (Å): 5.213 5.213 2.927
angles (deg): 90.00 90.00 90.00
Space group P4/mmm (No. 123)
Symmetry-distinct sites (fractional):
Tl (0.000, 0.000, 0.000) [1 per cell]
Tc (0.500, 0.500, 0.000) [1 per cell]
Hg (0.000, 0.500, 0.500) [2 per cell]

Entry b
Entry from Alexandria via LeMat-Bulk: crystalline TlTcHg2 at its relaxed geometry (PBEsol).

Values from the calculation:
Mass density, Mg/m³: 14.3

a b c (Å): 3.0549 3.0549 30.3060
angles (deg): 90.00 90.00 120.00
Space group R-3m (No. 166, hexagonal axes)
Symmetry-distinct sites (fractional):
Tl (0.0000, 0.0000, 0.0000) [3 per cell]
Tc (0.0000, 0.0000, 0.5000) [3 per cell]
Hg (0.0000, 0.0000, 0.2398) [6 per cell]

The data favor entry b; the next most stable structure lies 0.117 eV/atom above it.

Entry a
Entry from Alexandria via LeMat-Bulk: crystalline TcHg2W at its relaxed geometry (PBEsol).

Values from the calculation:
Mass density, Mg/m³: 16.7

a b c (Å): 9.605 2.925 4.932
angles (deg): 90.00 100.51 90.00
Space group C2/m (No. 12)
Symmetry-distinct sites (fractional):
Tc (0.000, 0.000, 0.000) [2 per cell]
Hg (0.248, 0.500, 0.248) [4 per cell]
W (0.000, 0.500, 0.500) [2 per cell]

Entry b
Entry from Alexandria via LeMat-Bulk: crystalline TcHg2W at its relaxed geometry (PBEsol).

Values from the calculation:
Mass density, Mg/m³: 16.0

a b c (Å): 3.141 4.819 9.392
angles (deg): 90.00 90.00 90.00
Space group Imm2 (No. 44)
Symmetry-distinct sites (fractional):
Tc (0.000, 0.000, 0.000) [2 per cell]
Hg (0.000, 0.000, 0.538) [2 per cell]
Hg (0.000, 0.500, 0.766) [2 per cell]
W (0.000, 0.500, 0.305) [2 per cell]

The data favor entry b; the next most stable structure lies 0.094 eV/atom above it.

Entry a
Entry from Alexandria via LeMat-Bulk: crystalline Tl2HgTe at its relaxed geometry (PBEsol).

Values from the calculation:
Mass density, Mg/m³: 10.7

a b c (Å): 7.698 7.698 7.698
angles (deg): 90.00 90.00 90.00
Space group F-43m (No. 216)
Symmetry-distinct sites (fractional):
Tl (0.000, 0.000, 0.000) [4 per cell]
Tl (0.250, 0.250, 0.250) [4 per cell]
Hg (0.250, 0.250, 0.750) [4 per cell]
Te (0.000, 0.000, 0.500) [4 per cell]

Entry b
Entry from Alexandria via LeMat-Bulk: crystalline Tl2HgTe at its relaxed geometry (PBEsol).

Values from the calculation:
Mass density, Mg/m³: 10.6

a b c (Å): 3.888 3.888 7.606
angles (deg): 90.00 90.00 90.00
Space group P4/mmm (No. 123)
Symmetry-distinct sites (fractional):
Tl (0.000, 0.000, 0.243) [2 per cell]
Hg (0.500, 0.500, 0.500) [1 per cell]
Te (0.500, 0.500, 0.000) [1 per cell]

The data favor entry b; the next most stable structure lies 0.052 eV/atom above it.